# Tb4Y7Ho, relaxed, DFT GGA-PBE
# Density of states at the Fermi level   1.8076 states/eV/atom
# E   -67.29 eV for the cell shown
# Energy above the most stable polymorph in this dataset   0.000 eV/atom
# Calculated formation energy   88 meV per atom
data_Tb4Y7Ho
_chemical_formula_sum 'Tb4 Y7 Ho1'
_cell_length_a 6.521
_cell_length_b 6.818
_cell_length_c 9.078
_cell_angle_alpha 85.91
_cell_angle_beta 76.80
_cell_angle_gamma 81.91
_space_group_name_H-M_alt 'P -1'
_space_group_IT_number 2
loop_
_space_group_symop_operation_xyz
'x,y,z'
'-x,-y,-z'
loop_
_atom_site_label
_atom_site_fract_x
_atom_site_fract_y
_atom_site_fract_z
_atom_site_occupancy
Tb1 0.142 0.312 0.283 1
Tb2 0.339 0.881 0.692 1
Y1 0.012 0.252 0.950 1
Y2 0.181 0.805 0.361 1
Y3 0.311 0.392 0.615 1
Y4 0.500 0.000 0.000 1
Ho1 0.500 0.500 0.000 1